Version 1
Computed, not measured: LuZnCoRe after structural relaxation at the PBE level of DFT.

Computed properties:
* calculated volume: 15.7 Å³/atom
* magnetization: 6.28 μB per cell

a = 6.3135 Å, b = 6.3135 Å, c = 6.3135 Å
α = 90.00°, β = 90.00°, γ = 90.00°
Closest atoms and distances in Å follow each position.
Space group F-43m (No. 216)
Unique sites:
Lu  0.0000  0.0000  0.0000  4 Re 2.73, 4 Co 2.73
Zn  0.0000  0.0000  0.5000  4 Co 2.73, 4 Re 2.73
Co  0.2500  0.2500  0.7500  4 Zn 2.73, 4 Lu 2.73
Re  0.2500  0.2500  0.2500  4 Zn 2.73, 4 Lu 2.73

=====

Version 2
Computed, not measured: LuZnCoRe after structural relaxation at the PBE level of DFT.

Computed properties:
* calculated volume: 16.1 Å³/atom
* magnetization: 11.91 μB per cell

a = 6.3678 Å, b = 6.3678 Å, c = 6.3678 Å
α = 90.00°, β = 90.00°, γ = 90.00°
Closest atoms and distances in Å follow each position.
Space group F-43m (No. 216)
Unique sites:
Lu  0.0000  0.0000  0.0000  4 Re 2.76, 4 Zn 2.76
Zn  0.2500  0.2500  0.2500  4 Co 2.76, 4 Lu 2.76
Co  0.0000  0.0000  0.5000  4 Re 2.76, 4 Zn 2.76
Re  0.2500  0.2500  0.7500  4 Co 2.76, 4 Lu 2.76

=====

Last place for stability: version 1

=====

Version 1
Computed, not measured: LuCoTcSb after structural relaxation at the PBE level of DFT.

Computed properties:
* calculated volume: 16.7 Å³/atom
* magnetization: 0.00 μB per cell

a = 6.4411 Å, b = 6.4411 Å, c = 6.4411 Å
α = 90.00°, β = 90.00°, γ = 90.00°
Closest atoms and distances in Å follow each position.
Space group F-43m (No. 216)
Unique sites:
Lu  0.0000  0.0000  0.0000  4 Tc 2.79, 4 Co 2.79
Co  0.2500  0.2500  0.7500  4 Sb 2.79, 4 Lu 2.79
Tc  0.2500  0.2500  0.2500  4 Sb 2.79, 4 Lu 2.79
Sb  0.0000  0.0000  0.5000  4 Co 2.79, 4 Tc 2.79

=====

Version 2
Computed, not measured: LuCoTcSb after structural relaxation at the PBE level of DFT.

Computed properties:
* calculated volume: 18.3 Å³/atom
* magnetization: 14.73 μB per cell

a = 6.6405 Å, b = 6.6405 Å, c = 6.6405 Å
α = 90.00°, β = 90.00°, γ = 90.00°
Closest atoms and distances in Å follow each position.
Space group F-43m (No. 216)
Unique sites:
Lu  0.0000  0.0000  0.0000  4 Sb 2.88, 4 Tc 2.88
Co  0.0000  0.0000  0.5000  4 Tc 2.88, 4 Sb 2.88
Tc  0.2500  0.2500  0.7500  4 Lu 2.88, 4 Co 2.88
Sb  0.2500  0.2500  0.2500  4 Co 2.88, 4 Lu 2.88

=====

Last place for stability: version 2

=====

Version 1
Computed, not measured: LuCoSiTc after structural relaxation at the PBE level of DFT.

Computed properties:
* calculated volume: 15.8 Å³/atom
* magnetization: 13.21 μB per cell

a = 6.3245 Å, b = 6.3245 Å, c = 6.3245 Å
α = 90.00°, β = 90.00°, γ = 90.00°
Closest atoms and distances in Å follow each position.
Space group F-43m (No. 216)
Unique sites:
Lu  0.0000  0.0000  0.0000  4 Si 2.74, 4 Tc 2.74
Co  0.0000  0.0000  0.5000  4 Tc 2.74, 4 Si 2.74
Si  0.2500  0.2500  0.2500  4 Co 2.74, 4 Lu 2.74
Tc  0.2500  0.2500  0.7500  4 Co 2.74, 4 Lu 2.74

=====

Version 2
Computed, not measured: LuCoSiTc after structural relaxation at the PBE level of DFT.

Computed properties:
* calculated volume: 14.6 Å³/atom
* magnetization: 1.64 μB per cell

a = 6.1648 Å, b = 6.1648 Å, c = 6.1648 Å
α = 90.00°, β = 90.00°, γ = 90.00°
Closest atoms and distances in Å follow each position.
Space group F-43m (No. 216)
Unique sites:
Lu  0.0000  0.0000  0.0000  4 Tc 2.67, 4 Co 2.67
Co  0.2500  0.2500  0.7500  4 Si 2.67, 4 Lu 2.67
Si  0.0000  0.0000  0.5000  4 Co 2.67, 4 Tc 2.67
Tc  0.2500  0.2500  0.2500  4 Si 2.67, 4 Lu 2.67

=====

Last place for stability: version 1

=====

Version 1
Computed, not measured: LuCoTcSn after structural relaxation at the PBE level of DFT.

Computed properties:
* calculated volume: 18.1 Å³/atom
* magnetization: 13.80 μB per cell

a = 6.6104 Å, b = 6.6104 Å, c = 6.6104 Å
α = 90.00°, β = 90.00°, γ = 90.00°
Closest atoms and distances in Å follow each position.
Space group F-43m (No. 216)
Unique sites:
Lu  0.0000  0.0000  0.0000  4 Sn 2.86, 4 Tc 2.86
Co  0.0000  0.0000  0.5000  4 Sn 2.86, 4 Tc 2.86
Tc  0.2500  0.2500  0.7500  4 Co 2.86, 4 Lu 2.86
Sn  0.2500  0.2500  0.2500  4 Co 2.86, 4 Lu 2.86

=====

Version 2
Computed, not measured: LuCoTcSn after structural relaxation at the PBE level of DFT.

Computed properties:
* calculated volume: 17.1 Å³/atom
* magnetization: 2.93 μB per cell

a = 6.4878 Å, b = 6.4878 Å, c = 6.4878 Å
α = 90.00°, β = 90.00°, γ = 90.00°
Closest atoms and distances in Å follow each position.
Space group F-43m (No. 216)
Unique sites:
Lu  0.0000  0.0000  0.0000  4 Tc 2.81, 4 Co 2.81
Co  0.2500  0.2500  0.7500  4 Sn 2.81, 4 Lu 2.81
Tc  0.2500  0.2500  0.2500  4 Sn 2.81, 4 Lu 2.81
Sn  0.0000  0.0000  0.5000  4 Co 2.81, 4 Tc 2.81

=====

Last place for stability: version 1

=====

Version 1
Computed, not measured: LuZnCoSn after structural relaxation at the PBE level of DFT.

Computed properties:
* calculated volume: 17.8 Å³/atom
* magnetization: 0.92 μB per cell

a = 6.5796 Å, b = 6.5796 Å, c = 6.5796 Å
α = 90.00°, β = 90.00°, γ = 90.00°
Closest atoms and distances in Å follow each position.
Space group F-43m (No. 216)
Unique sites:
Lu  0.0000  0.0000  0.0000  4 Sn 2.85, 4 Zn 2.85
Zn  0.2500  0.2500  0.7500  4 Co 2.85, 4 Lu 2.85
Co  0.0000  0.0000  0.5000  4 Zn 2.85, 4 Sn 2.85
Sn  0.2500  0.2500  0.2500  4 Co 2.85, 4 Lu 2.85

=====

Version 2
Computed, not measured: LuZnCoSn after structural relaxation at the PBE level of DFT.

Computed properties:
* calculated volume: 17.5 Å³/atom
* magnetization: 0.58 μB per cell

a = 6.5405 Å, b = 6.5405 Å, c = 6.5405 Å
α = 90.00°, β = 90.00°, γ = 90.00°
Closest atoms and distances in Å follow each position.
Space group F-43m (No. 216)
Unique sites:
Lu  0.0000  0.0000  0.0000  4 Co 2.83, 4 Zn 2.83
Zn  0.2500  0.2500  0.2500  4 Sn 2.83, 4 Lu 2.83
Co  0.2500  0.2500  0.7500  4 Sn 2.83, 4 Lu 2.83
Sn  0.0000  0.0000  0.5000  4 Co 2.83, 4 Zn 2.83

=====

Last place for stability: version 1

=====

Version 1
Computed, not measured: LuCoTc after structural relaxation at the PBE level of DFT.

Computed properties:
* calculated volume: 18.1 Å³/atom
* magnetization: 6.06 μB per cell

a = 6.0069 Å, b = 6.0069 Å, c = 6.0069 Å
α = 90.00°, β = 90.00°, γ = 90.00°
Closest atoms and distances in Å follow each position.
Space group F-43m (No. 216)
Unique sites:
Lu  0.0000  0.0000  0.0000  4 Co 2.60
Co  0.2500  0.2500  0.2500  4 Tc 2.60, 4 Lu 2.60
Tc  0.0000  0.0000  0.5000  4 Co 2.60

=====

Version 2
Computed, not measured: LuCoTc after structural relaxation at the PBE level of DFT.

Computed properties:
* calculated volume: 19.3 Å³/atom
* magnetization: 12.74 μB per cell

a = 6.1435 Å, b = 6.1435 Å, c = 6.1435 Å
α = 90.00°, β = 90.00°, γ = 90.00°
Closest atoms and distances in Å follow each position.
Space group F-43m (No. 216)
Unique sites:
Lu  0.0000  0.0000  0.0000  4 Co 2.66, 4 Tc 2.66
Co  0.2500  0.2500  0.7500  4 Lu 2.66
Tc  0.2500  0.2500  0.2500  4 Lu 2.66

=====

Last place for stability: version 2

=====

Version 1
Computed, not measured: LuCoW after structural relaxation at the PBE level of DFT.

Computed properties:
* calculated volume: 19.0 Å³/atom
* magnetization: 0.02 μB per cell

a = 6.1094 Å, b = 6.1094 Å, c = 6.1094 Å
α = 90.00°, β = 90.00°, γ = 90.00°
Closest atoms and distances in Å follow each position.
Space group F-43m (No. 216)
Unique sites:
Lu  0.0000  0.0000  0.0000  4 W 2.65
Co  0.0000  0.0000  0.5000  4 W 2.65
W  0.2500  0.2500  0.7500  4 Co 2.65, 4 Lu 2.65

=====

Version 2
Computed, not measured: LuCoW after structural relaxation at the PBE level of DFT.

Computed properties:
* calculated volume: 20.3 Å³/atom
* magnetization: 10.83 μB per cell

a = 6.2455 Å, b = 6.2455 Å, c = 6.2455 Å
α = 90.00°, β = 90.00°, γ = 90.00°
Closest atoms and distances in Å follow each position.
Space group F-43m (No. 216)
Unique sites:
Lu  0.0000  0.0000  0.0000  4 W 2.70, 4 Co 2.70
Co  0.2500  0.2500  0.2500  4 Lu 2.70
W  0.2500  0.2500  0.7500  4 Lu 2.70

=====

Last place for stability: version 2